First-principles (PBE+U) data for a geometry-optimized NiTeN2F structure, as listed in Alexandria.

As for the calculated total energy: -4.1599 eV per atom. Its total magnetization is 1.07 μB/cell. As for the volume: 11.6 Å³ per atom. As for the density of states at the Fermi level: 1.70 states/eV/f.u.

abc: 3.939 3.939 3.745
angles: 90.00 90.00 90.00
Last column: magnetic moment on the atom in μB.
Fractional coordinates of all 5 atoms:
Ni 0.000 0.000 0.000  1.36
N 0.000 0.500 0.000  -0.13
N 0.500 0.000 0.000  -0.13
Te 0.500 0.500 0.500  0.01
F 0.000 0.000 0.500  0.05